A plane-wave DFT calculation with PBE+U was carried out for a relaxed structure of LiFeN2F.

Cell: 3.606 3.606 3.600 Å, 90.00 90.00 90.00°
Positions (direct):
1 Li 0.000 0.000 0.000
2 Fe 0.500 0.500 0.500
3 N 0.000 0.500 0.000
4 N 0.500 0.000 0.000
5 F 0.000 0.000 0.500

Values from the calculation:
energy = -21.90 eV/f.u.
symmetry = P4/mmm
E above lowest polymorph = 0.726 eV per atom